Pm2YTl | PBE-GGA | relaxed

Calculated values
**Energy of formation**: 0.12 eV per atom
**Offset from the most stable computed form**: 319 meV/atom
**Space-group type**: P2_1/m

Unit cell a=5.947 b=3.476 c=12.828 alpha=90.00 beta=90.29 gamma=90.00
Element x y z (fractional)
Pm 0.248 0.250 0.064
Pm 0.250 0.750 0.813
Pm 0.750 0.250 0.187
Pm 0.752 0.750 0.936
Y 0.255 0.250 0.343
Y 0.745 0.750 0.657
Tl 0.245 0.750 0.558
Tl 0.755 0.250 0.442

Hf2H | PBE-GGA | relaxed

Calculated values
**Raw total energy**: -7.8543 eV per atom
**Space-group type**: C2/m

Unit cell a=10.473 b=3.078 c=7.746 alpha=90.00 beta=130.90 gamma=90.00
Element x y z (fractional)
Hf 0.074 0.000 0.350
Hf 0.191 0.500 0.125
Hf 0.309 0.000 0.875
Hf 0.426 0.500 0.650
Hf 0.574 0.500 0.350
Hf 0.691 0.000 0.125
Hf 0.809 0.500 0.875
Hf 0.926 0.000 0.650
H 0.127 0.500 0.808
H 0.373 0.000 0.192
H 0.627 0.000 0.808
H 0.873 0.500 0.192

PaGaFePd | PBE-GGA | relaxed

Calculated values
**Energy of formation**: -0.26 eV per atom
**Space-group type**: F-43m

Unit cell a=6.541 b=6.541 c=6.541 alpha=90.00 beta=90.00 gamma=90.00
Element x y z (fractional)
Pa 0.000 0.000 0.000
Pa 0.000 0.500 0.500
Pa 0.500 0.000 0.500
Pa 0.500 0.500 0.000
Ga 0.000 0.000 0.500
Ga 0.000 0.500 0.000
Ga 0.500 0.000 0.000
Ga 0.500 0.500 0.500
Fe 0.250 0.250 0.250
Fe 0.250 0.750 0.750
Fe 0.750 0.250 0.750
Fe 0.750 0.750 0.250
Pd 0.250 0.250 0.750
Pd 0.250 0.750 0.250
Pd 0.750 0.250 0.250
Pd 0.750 0.750 0.750

Hf3SbW | PBE-GGA | relaxed

Calculated values
**Offset from the most stable computed form**: 958 meV/atom
**Formation energy (no corrections)**: 773 meV/atom
**Space-group type**: Pm-3m

Unit cell a=5.060 b=5.060 c=5.060 alpha=90.00 beta=90.00 gamma=90.00
Element x y z (fractional)
Hf 0.000 0.000 0.500
Hf 0.000 0.500 0.000
Hf 0.500 0.000 0.000
Sb 0.500 0.500 0.500
W 0.000 0.000 0.000